Here is Tm3AsS2 after structural relaxation from the Open Quantum Materials Database. Energies are from GGA-PBE.

Structure (CIF):
```
data_Tm3AsS2
_space_group_name_H-M_alt 'P 1'
_space_group_IT_number 1
_cell_length_a 6.775
_cell_length_b 6.775
_cell_length_c 6.775
_cell_angle_alpha 146.34
_cell_angle_beta 131.71
_cell_angle_gamma 60.15
loop_
_space_group_symop_operation_xyz
'x,y,z'
loop_
_atom_site_label
_atom_site_fract_x
_atom_site_fract_y
_atom_site_fract_z
Tm1 0.000 0.000 0.000
Tm2 0.331 0.331 0.000
Tm3 0.669 0.669 0.000
As1 0.500 0.000 0.500
S1 0.166 0.666 0.500
S2 0.834 0.334 0.500
```

Output
total magnetization = 0.00 μB/f.u.
E above lowest polymorph = 0.0 meV/atom

Here is Tm4AsS3 after structural relaxation from the Open Quantum Materials Database. Energies are from GGA-PBE.

Structure (CIF):
```
data_Tm4AsS3
_space_group_name_H-M_alt 'P 1'
_space_group_IT_number 1
_cell_length_a 5.515
_cell_length_b 5.515
_cell_length_c 5.515
_cell_angle_alpha 90.00
_cell_angle_beta 90.00
_cell_angle_gamma 90.00
loop_
_space_group_symop_operation_xyz
'x,y,z'
loop_
_atom_site_label
_atom_site_fract_x
_atom_site_fract_y
_atom_site_fract_z
Tm1 0.000 0.000 0.000
Tm2 0.000 0.500 0.500
Tm3 0.500 0.000 0.500
Tm4 0.500 0.500 0.000
As1 0.500 0.500 0.500
S1 0.000 0.000 0.500
S2 0.000 0.500 0.000
S3 0.500 0.000 0.000
```

Output
total magnetization = 0.01 μB/f.u.
total energy = -49.637 eV/cell

Here is Tm3AsS2 after structural relaxation from the Open Quantum Materials Database. Energies are from GGA-PBE.

Structure (CIF):
```
data_Tm3AsS2
_space_group_name_H-M_alt 'P 1'
_space_group_IT_number 1
_cell_length_a 3.928
_cell_length_b 3.928
_cell_length_c 9.528
_cell_angle_alpha 90.00
_cell_angle_beta 90.00
_cell_angle_gamma 120.00
loop_
_space_group_symop_operation_xyz
'x,y,z'
loop_
_atom_site_label
_atom_site_fract_x
_atom_site_fract_y
_atom_site_fract_z
Tm1 0.000 0.000 0.000
Tm2 0.333 0.667 0.327
Tm3 0.667 0.333 0.673
As1 0.000 0.000 0.500
S1 0.333 0.667 0.839
S2 0.667 0.333 0.161
```

Output
total magnetization = 0.00 μB/f.u.
E above lowest polymorph = 9.8 meV/atom

total magnetization of number 2 (Tm4AsS3)? 0.01 μB/f.u.

The highest total magnetization belongs to which entry? Tm4AsS3

total magnetization of number 2 (Tm4AsS3)? 0.01 μB/f.u.

Number 1 is which compound? Tm3AsS2